No. 1
Below is a relaxed structure of Al3W5, with properties calculated at the PBE level.

a b c (Å): 8.695 8.702 3.298
angles (deg): 90.00 90.00 90.00
Space group Cmmm (No. 65)
Symmetry-distinct sites (fractional):
1 Al 0.000 0.000 0.000 x2
2 Al 0.247 0.500 0.500 x4
3 W 0.000 0.246 0.500 x4
4 W 0.000 0.500 0.000 x2
5 W 0.250 0.250 0.000 x4

Summary:
ΔH_f (0 K): 0.035 eV/atom
Distance to the lowest polymorph of the same formula: 0.0000 eV/atom



No. 2
Below is a relaxed structure of AlW3, with properties calculated at the PBE level.

a b c (Å): 5.6359 5.6359 9.2584
angles (deg): 90.00 90.00 120.00
Space group P6_3/mmc (No. 194)
Symmetry-distinct sites (fractional):
1 Al 0.0000 0.0000 0.0000 x2
2 Al 0.3333 0.6667 0.2500 x2
3 W 0.0000 0.5000 0.0000 x6
4 W 0.1715 0.3431 0.7500 x6

Summary:
ΔH_f (0 K): 0.168 eV/atom



No. 3
Below is a relaxed structure of AlW5, with properties calculated at the PBE level.

a b c (Å): 7.408 7.408 7.408
angles (deg): 90.00 90.00 90.00
Space group F-43m (No. 216)
Symmetry-distinct sites (fractional):
1 Al 0.000 0.000 0.000 x4
2 W 0.125 0.125 0.375 x16
3 W 0.250 0.250 0.750 x4

Summary:
ΔH_f (0 K): 0.357 eV/atom
Distance to the lowest polymorph of the same formula: 0.3277 eV/atom



No. 4
Below is a relaxed structure of Al2W3, with properties calculated at the PBE level.

a b c (Å): 4.816 9.279 14.094
angles (deg): 90.00 90.00 90.00
Space group Fddd (No. 70, origin choice 2)
Symmetry-distinct sites (fractional):
1 Al 0.125 0.125 0.325 x16
2 W 0.125 0.125 0.125 x8
3 W 0.125 0.125 0.523 x16

Summary:
ΔH_f (0 K): 0.144 eV/atom
Distance to the lowest polymorph of the same formula: 0.0000 eV/atom



No. 5
Below is a relaxed structure of Al2W, with properties calculated at the PBE level.

a b c (Å): 7.079 7.079 7.079
angles (deg): 90.00 90.00 90.00
Space group Fd-3m (No. 227, origin choice 2)
Symmetry-distinct sites (fractional):
1 Al 0.000 0.000 0.000 x16
2 W 0.125 0.125 0.625 x8

Summary:
ΔH_f (0 K): 0.151 eV/atom



No. 6
Below is a relaxed structure of Al3W, with properties calculated at the PBE level.

a b c (Å): 2.761 2.761 8.318
angles (deg): 90.00 90.00 90.00
Space group P4/mmm (No. 123)
Symmetry-distinct sites (fractional):
1 Al 0.000 0.000 0.000 x1
2 Al 0.500 0.500 0.254 x2
3 W 0.000 0.000 0.500 x1

Summary:
ΔH_f (0 K): 0.018 eV/atom



No. 7
Below is a relaxed structure of Al3W, with properties calculated at the PBE level.

a b c (Å): 7.564 7.548 4.718
angles (deg): 90.00 90.00 90.00
Space group Cmcm (No. 63)
Symmetry-distinct sites (fractional):
1 Al 0.000 0.074 0.250 x4
2 Al 0.173 0.262 0.750 x8
3 W 0.000 0.410 0.250 x4

Summary:
ΔH_f (0 K): 0.123 eV/atom



No. 8
Below is a relaxed structure of AlW5, with properties calculated at the PBE level.

a b c (Å): 5.2131 5.2131 4.6268
angles (deg): 90.00 90.00 120.00
Space group P6/mmm (No. 191)
Symmetry-distinct sites (fractional):
1 Al 0.0000 0.0000 0.0000 x1
2 W 0.0000 0.5000 0.5000 x3
3 W 0.3333 0.6667 0.0000 x2

Summary:
ΔH_f (0 K): 0.644 eV/atom
Distance to the lowest polymorph of the same formula: 0.6147 eV/atom



No. 9
Below is a relaxed structure of Al4W5, with properties calculated at the PBE level.

a b c (Å): 9.247 9.247 3.320
angles (deg): 90.00 90.00 90.00
Space group I4/mmm (No. 139)
Symmetry-distinct sites (fractional):
1 Al 0.000 0.325 0.000 x8
2 W 0.000 0.000 0.000 x2
3 W 0.170 0.170 0.500 x8

Summary:
ΔH_f (0 K): 0.048 eV/atom
Distance to the lowest polymorph of the same formula: 0.0000 eV/atom



No. 10
Below is a relaxed structure of Al2W, with properties calculated at the PBE level.

a b c (Å): 4.955 8.337 8.954
angles (deg): 90.00 90.00 90.00
Space group Fddd (No. 70, origin choice 2)
Symmetry-distinct sites (fractional):
1 Al 0.125 0.292 0.125 x16
2 W 0.125 0.125 0.625 x8

Summary:
ΔH_f (0 K): -0.079 eV/atom



No. 11
Below is a relaxed structure of AlW3, with properties calculated at the PBE level.

a b c (Å): 5.478 8.504 2.745
angles (deg): 90.00 90.00 90.00
Space group Cmmm (No. 65)
Symmetry-distinct sites (fractional):
1 Al 0.000 0.000 0.000 x2
2 W 0.000 0.500 0.000 x2
3 W 0.250 0.250 0.500 x4

Summary:
ΔH_f (0 K): 0.207 eV/atom



No. 12
Below is a relaxed structure of AlW3, with properties calculated at the PBE level.

a b c (Å): 2.734 4.434 5.339
angles (deg): 90.00 101.67 90.00
Space group P2/m (No. 10)
Symmetry-distinct sites (fractional):
1 Al 0.000 0.000 0.000 x1
2 W 0.275 0.500 0.753 x2
3 W 0.500 0.000 0.500 x1

Summary:
ΔH_f (0 K): 0.039 eV/atom